(1)
RbBa6Sr8 after structural relaxation, computed with PBE.

Cell lengths 10.8375, 10.8375, 10.8375 Å; angles 59.75, 59.75, 59.75 degrees
Element x y z (fractional)
Rb 0.0000 0.0000 0.0000
Ba 0.0605 0.5299 0.2776
Ba 0.2776 0.0605 0.5299
Ba 0.4701 0.7224 0.9395
Ba 0.5299 0.2776 0.0605
Ba 0.7224 0.9395 0.4701
Ba 0.9395 0.4701 0.7224
Sr 0.1253 0.6587 0.8145
Sr 0.1855 0.8747 0.3413
Sr 0.3413 0.1855 0.8747
Sr 0.4225 0.4225 0.4225
Sr 0.5775 0.5775 0.5775
Sr 0.6587 0.8145 0.1253
Sr 0.8145 0.1253 0.6587
Sr 0.8747 0.3413 0.1855

The density is 2.99 g/cm3. The value obtained for the energy relative to the elements is 0.071 eV/atom. The space group is R-3, No. 148. The total magnetic moment comes out at 0.000 μB/atom.



(2)
RbBa15Sr4 after structural relaxation, computed with PBE.

Cell lengths 7.0346, 7.0346, 25.1493 Å; angles 90.00, 90.00, 90.00 degrees
Element x y z (fractional)
Rb 0.0000 0.0000 0.0000
Ba 0.0000 0.5000 0.1090
Ba 0.0000 0.5000 0.3046
Ba 0.0000 0.5000 0.5000
Ba 0.0000 0.5000 0.6954
Ba 0.0000 0.5000 0.8910
Ba 0.5000 0.0000 0.1090
Ba 0.5000 0.0000 0.3046
Ba 0.5000 0.0000 0.5000
Ba 0.5000 0.0000 0.6954
Ba 0.5000 0.0000 0.8910
Ba 0.5000 0.5000 0.0000
Ba 0.5000 0.5000 0.2068
Ba 0.5000 0.5000 0.4024
Ba 0.5000 0.5000 0.5976
Ba 0.5000 0.5000 0.7932
Sr 0.0000 0.0000 0.2099
Sr 0.0000 0.0000 0.4022
Sr 0.0000 0.0000 0.5978
Sr 0.0000 0.0000 0.7901

The density is 3.33 g/cm3. The value obtained for the energy relative to the elements is 0.025 eV/atom. The space group is P4/mmm, No. 123. The total magnetic moment comes out at 0.000 μB/atom.



(3)
RbBa2Sr2 after structural relaxation, computed with PBE.

Cell lengths 12.1724, 12.1724, 12.1724 Å; angles 153.87, 153.87, 37.29 degrees
Element x y z (fractional)
Rb 0.0000 0.0000 0.0000
Ba 0.3972 0.3972 0.0000
Ba 0.6028 0.6028 0.0000
Sr 0.2500 0.7500 0.5000
Sr 0.7500 0.2500 0.5000

The density is 2.55 g/cm3. The value obtained for the energy relative to the elements is 0.259 eV/atom. The space group is I4/mmm, No. 139. The total magnetic moment comes out at 0.000 μB/atom. For the relative energy among the computed polymorphs, the calculation gives 0.125 eV/atom.



(4)
RbBa8Sr6 after structural relaxation, computed with PBE.

Cell lengths 15.7616, 15.7616, 4.4304 Å; angles 90.00, 90.00, 120.00 degrees
Element x y z (fractional)
Rb 0.0000 0.0000 0.0000
Ba 0.0960 0.7697 0.3006
Ba 0.2303 0.3263 0.3006
Ba 0.3263 0.0960 0.6994
Ba 0.3333 0.6667 0.7355
Ba 0.6667 0.3333 0.2645
Ba 0.6737 0.9040 0.3006
Ba 0.7697 0.6737 0.6994
Ba 0.9040 0.2303 0.6994
Sr 0.0995 0.4914 0.2303
Sr 0.3919 0.9005 0.2303
Sr 0.4914 0.3919 0.7697
Sr 0.5086 0.6081 0.2303
Sr 0.6081 0.0995 0.7697
Sr 0.9005 0.5086 0.7697

The density is 2.98 g/cm3. The value obtained for the energy relative to the elements is 0.148 eV/atom. The space group is P-3, No. 147. The total magnetic moment comes out at 0.000 μB/atom.



(5)
RbBa2Sr after structural relaxation, computed with PBE.

Cell lengths 15.4441, 15.4441, 15.4441 Å; angles 16.66, 16.66, 16.66 degrees
Element x y z (fractional)
Rb 0.0000 0.0000 0.0000
Ba 0.2439 0.2439 0.2439
Ba 0.4227 0.4227 0.4227
Sr 0.8333 0.8333 0.8333

The density is 2.82 g/cm3. The value obtained for the energy relative to the elements is 0.062 eV/atom. The space group is R3m, No. 160. The total magnetic moment comes out at 0.000 μB/atom. For the relative energy among the computed polymorphs, the calculation gives 0.001 eV/atom.



(6)
Rb2Ba2Sr after structural relaxation, computed with PBE.

Cell lengths 11.6770, 11.6770, 11.6770 Å; angles 150.78, 150.78, 41.80 degrees
Element x y z (fractional)
Rb 0.0935 0.0935 0.0000
Rb 0.9065 0.9065 0.0000
Ba 0.2500 0.7500 0.5000
Ba 0.7500 0.2500 0.5000
Sr 0.5000 0.5000 0.0000

The density is 2.34 g/cm3. The value obtained for the energy relative to the elements is 0.321 eV/atom. The space group is I4/mmm, No. 139. The total magnetic moment comes out at 0.000 μB/atom. For the relative energy among the computed polymorphs, the calculation gives 0.066 eV/atom.



(7)
RbBa5Sr6 after structural relaxation, computed with PBE.

Cell lengths 9.8151, 9.8151, 7.6412 Å; angles 96.77, 96.77, 83.74 degrees
Element x y z (fractional)
Rb 0.0000 0.0000 0.0000
Ba 0.1688 0.8312 0.5000
Ba 0.3355 0.6645 0.0000
Ba 0.5000 0.5000 0.5000
Ba 0.6645 0.3355 0.0000
Ba 0.8312 0.1688 0.5000
Sr 0.0844 0.4199 0.2523
Sr 0.2521 0.2521 0.7485
Sr 0.4199 0.0844 0.2523
Sr 0.5801 0.9156 0.7477
Sr 0.7479 0.7479 0.2515
Sr 0.9156 0.5801 0.7477

The density is 2.98 g/cm3. The value obtained for the energy relative to the elements is 0.049 eV/atom. The space group is C2/m, No. 12. The total magnetic moment comes out at 0.000 μB/atom.



(8)
RbBa2Sr2 after structural relaxation, computed with PBE.

Cell lengths 12.2950, 12.2950, 4.4880 Å; angles 90.00, 90.00, 90.00 degrees
Element x y z (fractional)
Rb 0.0000 0.0000 0.0000
Rb 0.5000 0.5000 0.0000
Ba 0.1204 0.3796 0.0000
Ba 0.3796 0.8796 0.0000
Ba 0.6204 0.1204 0.0000
Ba 0.8796 0.6204 0.0000
Sr 0.1715 0.6715 0.5000
Sr 0.3285 0.1715 0.5000
Sr 0.6715 0.8285 0.5000
Sr 0.8285 0.3285 0.5000

The density is 2.62 g/cm3. The value obtained for the energy relative to the elements is 0.140 eV/atom. The space group is P4/mbm, No. 127. The total magnetic moment comes out at 0.000 μB/atom. For the relative energy among the computed polymorphs, the calculation gives 0.007 eV/atom.



(9)
RbBa2Sr2 after structural relaxation, computed with PBE.

Cell lengths 11.5841, 11.5841, 11.5841 Å; angles 151.54, 151.54, 40.68 degrees
Element x y z (fractional)
Rb 0.0000 0.0000 0.0000
Ba 0.2500 0.7500 0.5000
Ba 0.7500 0.2500 0.5000
Sr 0.4004 0.4004 0.0000
Sr 0.5996 0.5996 0.0000

The density is 2.52 g/cm3. The value obtained for the energy relative to the elements is 0.261 eV/atom. The space group is I4/mmm, No. 139. The total magnetic moment comes out at 0.000 μB/atom. For the relative energy among the computed polymorphs, the calculation gives 0.128 eV/atom.



(10)
RbBa2Sr after structural relaxation, computed with PBE.

Cell lengths 8.9097, 8.9097, 8.9097 Å; angles 103.07, 103.07, 123.21 degrees
Element x y z (fractional)
Rb 0.0000 0.0000 0.0000
Rb 0.7500 0.2500 0.5000
Ba 0.1189 0.6250 0.9939
Ba 0.3750 0.3689 0.4939
Ba 0.6311 0.1250 0.0061
Ba 0.8750 0.8811 0.5061
Sr 0.2500 0.7500 0.5000
Sr 0.5000 0.5000 0.0000

The density is 2.86 g/cm3. The value obtained for the energy relative to the elements is 0.294 eV/atom. The space group is I-42d, No. 122. The total magnetic moment comes out at 0.222 μB/atom. For the relative energy among the computed polymorphs, the calculation gives 0.233 eV/atom.



(11)
RbBa12Sr6 after structural relaxation, computed with PBE.

Cell lengths 11.7564, 11.7564, 11.7564 Å; angles 110.94, 110.94, 110.94 degrees
Element x y z (fractional)
Rb 0.0000 0.0000 0.0000
Ba 0.1087 0.1621 0.7344
Ba 0.1621 0.7344 0.1087
Ba 0.2118 0.3218 0.4792
Ba 0.2656 0.8913 0.8379
Ba 0.3218 0.4792 0.2118
Ba 0.4792 0.2118 0.3218
Ba 0.5208 0.7882 0.6782
Ba 0.6782 0.5208 0.7882
Ba 0.7344 0.1087 0.1621
Ba 0.7882 0.6782 0.5208
Ba 0.8379 0.2656 0.8913
Ba 0.8913 0.8379 0.2656
Sr 0.0484 0.5771 0.3656
Sr 0.3656 0.0484 0.5771
Sr 0.4229 0.6344 0.9516
Sr 0.5771 0.3656 0.0484
Sr 0.6344 0.9516 0.4229
Sr 0.9516 0.4229 0.6344

The density is 3.18 g/cm3. The value obtained for the energy relative to the elements is 0.036 eV/atom. The space group is R-3, No. 148. The total magnetic moment comes out at 0.000 μB/atom.



(12)
RbBaSr4 after structural relaxation, computed with PBE.

Cell lengths 8.1360, 8.1360, 8.1360 Å; angles 60.00, 60.00, 60.00 degrees
Element x y z (fractional)
Rb 0.0000 0.0000 0.0000
Ba 0.7500 0.7500 0.7500
Sr 0.3756 0.3756 0.3756
Sr 0.3756 0.3756 0.8733
Sr 0.3756 0.8733 0.3756
Sr 0.8733 0.3756 0.3756

The density is 2.50 g/cm3. The value obtained for the energy relative to the elements is 0.103 eV/atom. The space group is F-43m, No. 216. The total magnetic moment comes out at 0.000 μB/atom.